No. 1
Entry from the Alexandria database: crystalline BaSrCdPd2 at its relaxed geometry (PBE).

Lattice parameters (Å, degrees): 5.400 5.400 6.846 90.00 90.00 90.00
Positions (direct):
Ba1 0.000 0.000 0.000
Sr1 0.000 0.000 0.500
Cd1 0.500 0.500 0.500
Pd1 0.000 0.500 0.000
Pd2 0.500 0.000 0.000

## Properties
Energy of formation ... 0.722 eV per atom
Density of states at the Fermi level ... 4.1 states/eV/f.u.
Uncorrected energy ... -2.260 eV per atom
V ... 39.9 Å³ per atom



No. 2
Entry from the Alexandria database: crystalline Pm2CoP at its relaxed geometry (PBE).

Lattice parameters (Å, degrees): 4.941 4.941 4.941 60.00 60.00 60.00
Positions (direct):
Pm1 0.250 0.250 0.250
Pm2 0.750 0.750 0.750
Co1 0.000 0.000 0.000
P1 0.500 0.500 0.500

## Properties
Energy of formation ... -0.424 eV per atom
Energy above the lowest structure with this stoichiometry ... 119 meV per atom
Density of states at the Fermi level ... 1.7 states/eV/f.u.
Uncorrected energy ... -5.929 eV per atom
V ... 21.3 Å³ per atom



No. 3
Entry from the Alexandria database: crystalline SrCeCdPd at its relaxed geometry (PBE).

Lattice parameters (Å, degrees): 5.354 5.354 5.354 60.00 60.00 60.00
Positions (direct):
Sr1 0.000 0.000 0.000
Ce1 0.500 0.500 0.500
Cd1 0.750 0.750 0.750
Pd1 0.250 0.250 0.250

## Properties
Energy of formation ... -0.308 eV per atom
Density of states at the Fermi level ... 8.2 states/eV/f.u.
Uncorrected energy ... -3.739 eV per atom
V ... 27.1 Å³ per atom



No. 4
Entry from the Alexandria database: crystalline DyHoEr2N4 at its relaxed geometry (PBE).

Lattice parameters (Å, degrees): 5.966 3.445 5.966 90.00 109.45 90.00
Positions (direct):
Dy1 0.000 0.000 0.000
Ho1 0.000 0.500 0.500
Er1 0.500 0.000 0.500
Er2 0.500 0.500 0.000
N1 0.252 0.000 0.750
N2 0.252 0.500 0.251
N3 0.748 0.000 0.250
N4 0.748 0.500 0.749

## Properties
Uncorrected formation energy ... -1754 meV per atom
Density of states at the Fermi level ... 0.2 states/eV/f.u.
Uncorrected energy ... -8.205 eV per atom
V ... 14.5 Å³ per atom



No. 5
Entry from the Alexandria database: crystalline Ba2TlRh at its relaxed geometry (PBE).

Lattice parameters (Å, degrees): 3.931 3.931 8.588 90.00 90.00 90.00
Positions (direct):
Ba1 0.000 0.000 0.209
Ba2 0.000 0.000 0.791
Tl1 0.500 0.500 0.500
Rh1 0.500 0.500 0.000

## Properties
Energy of formation ... -0.156 eV per atom
Energy above the lowest structure with this stoichiometry ... 98 meV per atom
Density of states at the Fermi level ... 3.1 states/eV/f.u.
Uncorrected energy ... -3.547 eV per atom
V ... 33.2 Å³ per atom



No. 6
Entry from the Alexandria database: crystalline KMn2AgCl8 at its relaxed geometry (PBE).

Lattice parameters (Å, degrees): 6.751 6.751 8.960 90.00 90.00 120.00
Positions (direct):
K1 0.000 0.000 0.000
Mn1 0.333 0.667 0.750
Mn2 0.667 0.333 0.250
Ag1 0.000 0.000 0.500
Cl1 0.035 0.325 0.683
Cl2 0.291 0.965 0.683
Cl3 0.325 0.291 0.317
Cl4 0.333 0.667 0.996
Cl5 0.667 0.333 0.004
Cl6 0.675 0.709 0.683
Cl7 0.709 0.035 0.317
Cl8 0.965 0.675 0.317

## Properties
Uncorrected formation energy ... -994 meV per atom
Density of states at the Fermi level ... 6.1 states/eV/f.u.
Uncorrected energy ... -4.082 eV per atom
V ... 29.5 Å³ per atom



No. 7
Entry from the Alexandria database: crystalline Ca6Sn2O at its relaxed geometry (PBE).

Lattice parameters (Å, degrees): 6.981 6.981 5.726 90.00 90.00 120.00
Positions (direct):
Ca1 0.163 0.327 0.242
Ca2 0.163 0.837 0.242
Ca3 0.327 0.163 0.758
Ca4 0.673 0.837 0.242
Ca5 0.837 0.163 0.758
Ca6 0.837 0.673 0.758
Sn1 0.333 0.667 0.751
Sn2 0.667 0.333 0.249
O1 0.000 0.000 0.000

## Properties
Uncorrected formation energy ... -1069 meV per atom
Density of states at the Fermi level ... 2.9 states/eV/f.u.
Uncorrected energy ... -3.844 eV per atom
V ... 26.8 Å³ per atom



No. 8
Entry from the Alexandria database: crystalline Ca2La8Nd3 at its relaxed geometry (PBE).

Lattice parameters (Å, degrees): 9.113 9.113 6.411 107.48 107.48 83.04
Positions (direct):
Ca1 0.198 0.198 0.324
Ca2 0.802 0.802 0.676
La1 0.070 0.070 0.738
La2 0.084 0.592 0.329
La3 0.356 0.356 0.929
La4 0.408 0.916 0.671
La5 0.592 0.084 0.329
La6 0.644 0.644 0.071
La7 0.916 0.408 0.671
La8 0.930 0.930 0.262
Nd1 0.249 0.751 0.000
Nd2 0.500 0.500 0.500
Nd3 0.751 0.249 0.000

## Properties
Energy of formation ... 0.162 eV per atom
Density of states at the Fermi level ... 21.3 states/eV/f.u.
Uncorrected energy ... -4.279 eV per atom
V ... 37.2 Å³ per atom



No. 9
Entry from the Alexandria database: crystalline ScGe2Pd8 at its relaxed geometry (PBE).

Lattice parameters (Å, degrees): 6.738 6.738 4.473 99.28 99.28 112.40
Positions (direct):
Sc1 0.000 0.000 0.000
Ge1 0.321 0.679 0.500
Ge2 0.679 0.321 0.500
Pd1 0.070 0.319 0.594
Pd2 0.238 0.762 0.000
Pd3 0.319 0.070 0.594
Pd4 0.380 0.380 0.177
Pd5 0.620 0.620 0.823
Pd6 0.681 0.930 0.406
Pd7 0.762 0.238 0.000
Pd8 0.930 0.681 0.406

## Properties
Energy of formation ... -0.531 eV per atom
Density of states at the Fermi level ... 4.5 states/eV/f.u.
Uncorrected energy ... -5.723 eV per atom
V ... 16.3 Å³ per atom



No. 10
Entry from the Alexandria database: crystalline Na3ThPb2Se6 at its relaxed geometry (PBE).

Lattice parameters (Å, degrees): 7.442 7.442 7.467 99.60 99.60 119.95
Positions (direct):
Na1 0.000 0.000 0.000
Na2 0.326 0.674 0.000
Na3 0.674 0.326 0.000
Th1 0.500 0.500 0.500
Pb1 0.165 0.835 0.500
Pb2 0.835 0.165 0.500
Se1 0.099 0.420 0.259
Se2 0.260 0.260 0.741
Se3 0.420 0.099 0.259
Se4 0.580 0.901 0.741
Se5 0.740 0.740 0.259
Se6 0.901 0.580 0.741

## Properties
Uncorrected formation energy ... -1062 meV per atom
Density of states at the Fermi level ... 5.9 states/eV/f.u.
Uncorrected energy ... -4.371 eV per atom
V ... 28.1 Å³ per atom



No. 11
Entry from the Alexandria database: crystalline GePPdBr2 at its relaxed geometry (PBE).

Lattice parameters (Å, degrees): 5.039 5.039 4.965 90.00 90.00 90.00
Positions (direct):
Ge1 0.000 0.000 0.000
P1 0.000 0.000 0.500
Pd1 0.500 0.500 0.000
Br1 0.000 0.500 0.500
Br2 0.500 0.000 0.500

## Properties
Uncorrected formation energy ... 661 meV per atom
Density of states at the Fermi level ... 3.2 states/eV/f.u.
Uncorrected energy ... -3.052 eV per atom
V ... 25.2 Å³ per atom



No. 12
Entry from the Alexandria database: crystalline BaSr4Br at its relaxed geometry (PBE).

Lattice parameters (Å, degrees): 7.950 7.950 7.950 60.00 60.00 60.00
Positions (direct):
Ba1 0.000 0.000 0.000
Sr1 0.374 0.374 0.374
Sr2 0.374 0.374 0.878
Sr3 0.374 0.878 0.374
Sr4 0.878 0.374 0.374
Br1 0.750 0.750 0.750

## Properties
Uncorrected formation energy ... -40 meV per atom
Density of states at the Fermi level ... 4.8 states/eV/f.u.
Uncorrected energy ... -1.760 eV per atom
V ... 59.2 Å³ per atom



No. 13
Entry from the Alexandria database: crystalline Pr2FeCo at its relaxed geometry (PBE).

Lattice parameters (Å, degrees): 7.655 7.655 7.655 29.96 29.96 29.96
Positions (direct):
Pr1 0.000 0.000 0.000
Pr2 0.180 0.180 0.180
Fe1 0.422 0.422 0.422
Co1 0.759 0.759 0.759

## Properties
Energy of formation ... -0.018 eV per atom
Density of states at the Fermi level ... 4.8 states/eV/f.u.
Uncorrected energy ... -6.300 eV per atom
V ... 24.8 Å³ per atom



No. 14
Entry from the Alexandria database: crystalline CuRh2W at its relaxed geometry (PBE).

Lattice parameters (Å, degrees): 4.638 4.638 4.754 99.04 99.04 34.21
Positions (direct):
Cu1 0.000 0.000 0.000
Rh1 0.249 0.249 0.754
Rh2 0.751 0.751 0.246
W1 0.500 0.500 0.500

## Properties
Energy of formation ... -0.007 eV per atom
Energy above the lowest structure with this stoichiometry ... 141 meV per atom
Density of states at the Fermi level ... 3.8 states/eV/f.u.
Uncorrected energy ... -7.945 eV per atom
V ... 14.2 Å³ per atom



No. 15
Entry from the Alexandria database: crystalline BiPO3 at its relaxed geometry (PBE).

Lattice parameters (Å, degrees): 5.182 6.795 9.408 90.00 92.73 90.00
Positions (direct):
Bi1 0.001 0.248 0.254
Bi2 0.001 0.252 0.754
Bi3 0.999 0.748 0.246
Bi4 0.999 0.752 0.746
P1 0.474 0.661 0.485
P2 0.474 0.839 0.985
P3 0.526 0.161 0.015
P4 0.526 0.339 0.515
O1 0.208 0.714 0.545
O2 0.208 0.786 0.045
O3 0.291 0.233 0.447
O4 0.291 0.267 0.947
O5 0.452 0.701 0.323
O6 0.452 0.799 0.823
O7 0.548 0.201 0.177
O8 0.548 0.299 0.677
O9 0.709 0.733 0.053
O10 0.709 0.767 0.553
O11 0.792 0.214 0.955
O12 0.792 0.286 0.455

## Properties
Uncorrected formation energy ... -1596 meV per atom
Density of states at the Fermi level ... 1.3 states/eV/f.u.
Uncorrected energy ... -6.429 eV per atom
V ... 16.5 Å³ per atom



No. 16
Entry from the Alexandria database: crystalline NbInPd6 at its relaxed geometry (PBE).

Lattice parameters (Å, degrees): 3.999 3.999 8.032 90.00 90.00 90.00
Positions (direct):
Nb1 0.000 0.000 0.000
In1 0.000 0.000 0.500
Pd1 0.000 0.500 0.239
Pd2 0.000 0.500 0.761
Pd3 0.500 0.000 0.239
Pd4 0.500 0.000 0.761
Pd5 0.500 0.500 0.000
Pd6 0.500 0.500 0.500

## Properties
Energy of formation ... -0.471 eV per atom
Density of states at the Fermi level ... 1.6 states/eV/f.u.
Uncorrected energy ... -5.966 eV per atom
V ... 16.1 Å³ per atom



No. 17
Entry from the Alexandria database: crystalline TmIn6Sn at its relaxed geometry (PBE).

Lattice parameters (Å, degrees): 6.792 6.792 4.501 90.00 90.00 90.00
Positions (direct):
Tm1 0.000 0.000 0.000
In1 0.000 0.500 0.000
In2 0.250 0.250 0.500
In3 0.250 0.750 0.500
In4 0.500 0.000 0.000
In5 0.750 0.250 0.500
In6 0.750 0.750 0.500
Sn1 0.500 0.500 0.000

## Properties
Energy of formation ... -0.114 eV per atom
Density of states at the Fermi level ... 4.7 states/eV/f.u.
Uncorrected energy ... -3.227 eV per atom
V ... 26.0 Å³ per atom



No. 18
Entry from the Alexandria database: crystalline Cu5Mo4 at its relaxed geometry (PBE).

Lattice parameters (Å, degrees): 6.445 6.445 6.445 93.68 93.68 150.64
Positions (direct):
Cu1 0.000 0.000 0.000
Cu2 0.333 0.333 0.667
Cu3 0.333 0.667 0.000
Cu4 0.667 0.333 0.000
Cu5 0.667 0.667 0.333
Mo1 0.000 0.334 0.334
Mo2 0.000 0.666 0.666
Mo3 0.334 0.000 0.334
Mo4 0.666 0.000 0.666

## Properties
Energy of formation ... 0.255 eV per atom
Energy above the lowest structure with this stoichiometry ... 0 meV per atom
Density of states at the Fermi level ... 8.1 states/eV/f.u.
Uncorrected energy ... -6.835 eV per atom
V ... 14.1 Å³ per atom



No. 19
Entry from the Alexandria database: crystalline HfGaGe2 at its relaxed geometry (PBE).

Lattice parameters (Å, degrees): 5.919 5.919 5.919 103.42 103.42 122.40
Positions (direct):
Hf1 0.000 0.000 0.000
Hf2 0.750 0.250 0.500
Ga1 0.250 0.750 0.500
Ga2 0.500 0.500 0.000
Ge1 0.145 0.625 0.020
Ge2 0.375 0.395 0.520
Ge3 0.605 0.125 0.980
Ge4 0.875 0.855 0.480

## Properties
Energy of formation ... 0.009 eV per atom
Energy above the lowest structure with this stoichiometry ... 180 meV per atom
Density of states at the Fermi level ... 3.3 states/eV/f.u.
Uncorrected energy ... -5.544 eV per atom
V ... 19.2 Å³ per atom



No. 20
Entry from the Alexandria database: crystalline Ac3Y at its relaxed geometry (PBE).

Lattice parameters (Å, degrees): 6.207 6.207 6.207 60.00 60.00 60.00
Positions (direct):
Ac1 0.000 0.000 0.000
Ac2 0.250 0.250 0.250
Ac3 0.750 0.750 0.750
Y1 0.500 0.500 0.500

## Properties
Energy of formation ... 0.147 eV per atom
Density of states at the Fermi level ... 10.3 states/eV/f.u.
Uncorrected energy ... -4.551 eV per atom
V ... 42.3 Å³ per atom



No. 21
Entry from the Alexandria database: crystalline CdHg2Ir at its relaxed geometry (PBE).

Lattice parameters (Å, degrees): 5.389 5.389 5.389 135.18 134.85 65.51
Positions (direct):
Cd1 0.000 0.000 0.000
Hg1 0.251 0.751 0.500
Hg2 0.502 0.502 0.000
Ir1 0.750 0.250 0.500

## Properties
Energy of formation ... 0.317 eV per atom
Energy above the lowest structure with this stoichiometry ... 116 meV per atom
Density of states at the Fermi level ... 1.4 states/eV/f.u.
Uncorrected energy ... -2.278 eV per atom
V ... 19.3 Å³ per atom



No. 22
Entry from the Alexandria database: crystalline Dy3Mg2Sc2 at its relaxed geometry (PBE).

Lattice parameters (Å, degrees): 11.475 11.475 3.387 90.00 90.00 154.50
Positions (direct):
Dy1 0.000 0.000 0.000
Dy2 0.154 0.846 0.000
Dy3 0.846 0.154 0.000
Mg1 0.428 0.572 0.500
Mg2 0.572 0.428 0.500
Sc1 0.285 0.715 0.500
Sc2 0.715 0.285 0.500

## Properties
Energy of formation ... 0.013 eV per atom
Density of states at the Fermi level ... 8.2 states/eV/f.u.
Uncorrected energy ... -4.223 eV per atom
V ... 27.4 Å³ per atom



No. 23
Entry from the Alexandria database: crystalline CrTe2I at its relaxed geometry (PBE).

Lattice parameters (Å, degrees): 6.160 6.992 7.062 107.64 93.71 109.26
Positions (direct):
Cr1 0.000 0.000 0.000
Cr2 0.206 0.875 0.065
Te1 0.150 0.166 0.715
Te2 0.229 0.400 0.212
Te3 0.903 0.856 0.315
Te4 0.923 0.463 0.927
I1 0.526 0.804 0.810
I2 0.556 0.195 0.344

## Properties
Uncorrected formation energy ... 28 meV per atom
Energy above the lowest structure with this stoichiometry ... 241 meV per atom
Density of states at the Fermi level ... 0.0 states/eV/f.u.
Uncorrected energy ... -4.336 eV per atom
V ... 33.6 Å³ per atom



No. 24
Entry from the Alexandria database: crystalline MgGa2Pd2 at its relaxed geometry (PBE).

Lattice parameters (Å, degrees): 6.326 6.326 4.974 107.97 107.97 83.91
Positions (direct):
Mg1 0.108 0.892 0.750
Mg2 0.892 0.108 0.250
Ga1 0.169 0.375 0.896
Ga2 0.375 0.169 0.396
Ga3 0.625 0.831 0.604
Ga4 0.831 0.625 0.104
Pd1 0.224 0.776 0.250
Pd2 0.425 0.575 0.750
Pd3 0.575 0.425 0.250
Pd4 0.776 0.224 0.750

## Properties
Energy of formation ... -0.488 eV per atom
Energy above the lowest structure with this stoichiometry ... 106 meV per atom
Density of states at the Fermi level ... 2.2 states/eV/f.u.
Uncorrected energy ... -4.095 eV per atom
V ... 18.0 Å³ per atom



No. 25
Entry from the Alexandria database: crystalline Zr2ScGa6 at its relaxed geometry (PBE).

Lattice parameters (Å, degrees): 7.402 7.402 3.385 90.00 90.00 120.00
Positions (direct):
Zr1 0.333 0.667 0.000
Zr2 0.667 0.333 0.000
Sc1 0.000 0.000 0.000
Ga1 0.000 0.333 0.500
Ga2 0.000 0.667 0.500
Ga3 0.333 0.000 0.500
Ga4 0.333 0.333 0.500
Ga5 0.667 0.000 0.500
Ga6 0.667 0.667 0.500

## Properties
Energy of formation ... -0.490 eV per atom
Energy above the lowest structure with this stoichiometry ... 0 meV per atom
Density of states at the Fermi level ... 2.8 states/eV/f.u.
Uncorrected energy ... -5.111 eV per atom
V ... 17.9 Å³ per atom